First-principles (GGA-PBE) data for Na10B17C3 after structural relaxation, as listed in the Alexandria database.

Cell lengths 11.873, 11.873, 10.211 Å; angles 105.55, 105.55, 13.67 degrees
Sites, in units of the cell vectors:
Na 0.400 0.400 0.802
Na 0.500 0.500 0.499
Na 0.199 0.199 0.399
Na 0.301 0.301 0.097
Na 0.000 0.000 0.001
Na 0.100 0.100 0.702
Na 0.801 0.801 0.599
Na 0.900 0.900 0.298
Na 0.600 0.600 0.199
Na 0.700 0.700 0.904
B 0.919 0.919 0.587
B 0.077 0.077 0.404
B 0.012 0.012 0.273
B 0.981 0.981 0.712
B 0.881 0.881 0.012
B 0.815 0.815 0.881
B 0.776 0.776 0.301
B 0.521 0.521 0.793
B 0.683 0.683 0.615
B 0.620 0.620 0.490
B 0.584 0.584 0.920
B 0.315 0.315 0.380
B 0.421 0.421 0.092
B 0.378 0.378 0.505
B 0.123 0.123 0.996
B 0.225 0.225 0.701
B 0.188 0.188 0.125
C 0.718 0.718 0.183
C 0.481 0.481 0.211
C 0.283 0.283 0.818

Properties
V in A^3/atom: 10.92
D(E_F) in states/eV per atom: 0.300
DFT total energy in eV/cell: -148.0
Symmetry: No. 8
ΔH_f (0 K) in meV/atom: 211
Magnetization in μB/cell: 0.000